Computed, not measured: a relaxed structure of ErNi2H6 at the PBE-GGA level of DFT.

Cell lengths 4.314, 4.314, 4.044 Å; angles 90.00, 90.00, 120.00 degrees
Atoms (fractional coordinates):
Er 0.000 0.000 0.000
Ni 0.333 0.667 0.500
Ni 0.667 0.333 0.500
H 0.000 0.500 0.238
H 0.000 0.500 0.762
H 0.500 0.000 0.238
H 0.500 0.000 0.762
H 0.500 0.500 0.238
H 0.500 0.500 0.762

## Properties
Its total energy is -39.11 eV per cell. The magnetic moment is 0.00 Bohr magnetons per cell.